Computed, not measured: a relaxed structure of La2PdS at the GGA-PBE level of DFT.

## Properties
SG: I-42d, No. 122
Raw total energy (eV per atom): -5.889
Density of states at the Fermi level (states/eV per cell): 14.10

Cell lengths 7.546, 7.546, 8.269 Å; angles 90.00, 90.00, 90.00 degrees
Positions (direct):
1 La 0.248 0.250 0.125
2 La 0.250 0.748 0.375
3 La 0.250 0.752 0.875
4 La 0.252 0.250 0.625
5 La 0.748 0.750 0.625
6 La 0.750 0.248 0.875
7 La 0.750 0.252 0.375
8 La 0.752 0.750 0.125
9 Pd 0.000 0.000 0.500
10 Pd 0.000 0.500 0.750
11 Pd 0.500 0.000 0.250
12 Pd 0.500 0.500 0.000
13 S 0.000 0.000 0.000
14 S 0.000 0.500 0.250
15 S 0.500 0.000 0.750
16 S 0.500 0.500 0.500